[1]
The following is a GGA-PBE calculation of crystalline LaZrCu2 at its relaxed geometry, from the Alexandria database.

```
data_LaZrCu2
_chemical_formula_sum 'La2 Zr2 Cu4'
_space_group_name_H-M_alt 'I m m 2'
_space_group_IT_number 44
_cell_length_a 3.3920
_cell_length_b 4.6478
_cell_length_c 10.2491
_cell_angle_alpha 90.00
_cell_angle_beta 90.00
_cell_angle_gamma 90.00
loop_
_space_group_symop_operation_xyz
'x,y,z'
'-x,-y,z'
'-x,y,z'
'x,-y,z'
'x+1/2,y+1/2,z+1/2'
'-x+1/2,-y+1/2,z+1/2'
'-x+1/2,y+1/2,z+1/2'
'x+1/2,-y+1/2,z+1/2'
loop_
_atom_site_label
_atom_site_fract_x
_atom_site_fract_y
_atom_site_fract_z
La1 0.0000 0.0000 0.0000
Zr1 0.0000 0.5000 0.7829
Cu1 0.0000 0.0000 0.5531
Cu2 0.0000 0.5000 0.2320
```

[2]
The following is a GGA-PBE calculation of crystalline LaZrCu2 at its relaxed geometry, from the Alexandria database.

```
data_LaZrCu2
_chemical_formula_sum 'La4 Zr4 Cu8'
_space_group_name_H-M_alt 'F -4 3 m'
_space_group_IT_number 216
_space_group_name_Hall 'F -4 2 3'
_cell_length_a 6.7562
_cell_length_b 6.7562
_cell_length_c 6.7562
_cell_angle_alpha 90.00
_cell_angle_beta 90.00
_cell_angle_gamma 90.00
loop_
_atom_site_label
_atom_site_fract_x
_atom_site_fract_y
_atom_site_fract_z
La1 0.0000 0.0000 0.0000
Zr1 0.2500 0.2500 0.2500
Cu1 0.0000 0.0000 0.5000
Cu2 0.2500 0.2500 0.7500
```

[3]
The following is a GGA-PBE calculation of crystalline La2ZrCu at its relaxed geometry, from the Alexandria database.

```
data_La2ZrCu
_chemical_formula_sum 'La2 Zr1 Cu1'
_space_group_name_H-M_alt 'P 1 m 1'
_space_group_IT_number 6
_cell_length_a 3.4647
_cell_length_b 5.3494
_cell_length_c 5.7178
_cell_angle_alpha 90.00
_cell_angle_beta 90.16
_cell_angle_gamma 90.00
loop_
_space_group_symop_operation_xyz
'x,y,z'
'x,-y,z'
loop_
_atom_site_label
_atom_site_fract_x
_atom_site_fract_y
_atom_site_fract_z
La1 0.0000 0.0000 0.0000
La2 0.0099 0.5000 0.5718
Zr1 0.5047 0.5000 0.1119
Cu1 0.5061 0.0000 0.4373
```

Results for total magnetic moment: 0.00; 3.26; 0.00 (in μB per cell, following the order of the records).
Results for ΔE_f: 56; 277; 112 (in meV per atom, following the order of the records).
Results for energy above the most stable polymorph in this dataset: 0.60; 1.48; 0.50 (in eV per formula unit, following the order of the records).